Record 1
# HoAlSi2Rh

A relaxed HoAlSi2Rh crystal (PBE, the Alexandria database).

```
data_HoAlSi2Rh
_cell_length_a 5.5220
_cell_length_b 5.6237
_cell_length_c 5.4825
_cell_angle_alpha 90.00
_cell_angle_beta 90.00
_cell_angle_gamma 90.00
_symmetry_space_group_name_H-M 'P 1'
_symmetry_Int_Tables_number 1
loop_
_symmetry_equiv_pos_as_xyz
'x,y,z'
loop_
_atom_site_label
_atom_site_type_symbol
_atom_site_fract_x
_atom_site_fract_y
_atom_site_fract_z
_atom_site_occupancy
Ho1 Ho 0.2299 0.2500 0.5000 1
Ho2 Ho 0.7701 0.7500 0.5000 1
Si1 Si 0.2620 0.7500 0.7217 1
Si2 Si 0.7380 0.2500 0.7217 1
Si3 Si 0.7380 0.2500 0.2783 1
Si4 Si 0.2620 0.7500 0.2783 1
Rh1 Rh 0.0000 0.0000 0.0000 1
Rh2 Rh 0.0000 0.5000 0.0000 1
Al1 Al 0.3792 0.2500 0.0000 1
Al2 Al 0.6208 0.7500 0.0000 1
```

Properties
- E_tot: -30.04 eV/f.u.
- Raw formation energy: -0.70 eV per atom
- Space group: Pmma (51)
- Crystal system: orthorhombic

=====

Record 2
# Ho2Al2SiRh5

A relaxed Ho2Al2SiRh5 crystal (PBE, the Alexandria database).

```
data_Ho2Al2SiRh5
_cell_length_a 3.3519
_cell_length_b 9.8593
_cell_length_c 9.8593
_cell_angle_alpha 90.00
_cell_angle_beta 90.00
_cell_angle_gamma 90.00
_symmetry_space_group_name_H-M 'P 1'
_symmetry_Int_Tables_number 1
loop_
_symmetry_equiv_pos_as_xyz
'x,y,z'
loop_
_atom_site_label
_atom_site_type_symbol
_atom_site_fract_x
_atom_site_fract_y
_atom_site_fract_z
_atom_site_occupancy
Rh1 Rh 0.5000 0.1971 0.0638 1
Rh2 Rh 0.5000 0.3029 0.5638 1
Rh3 Rh 0.5000 0.8029 0.9362 1
Rh4 Rh 0.5000 0.4362 0.3029 1
Rh5 Rh 0.5000 0.5638 0.6971 1
Rh6 Rh 0.5000 0.0000 0.5000 1
Rh7 Rh 0.5000 0.9362 0.1971 1
Rh8 Rh 0.5000 0.0638 0.8029 1
Rh9 Rh 0.5000 0.5000 0.0000 1
Rh10 Rh 0.5000 0.6971 0.4362 1
Ho1 Ho 0.0000 0.1728 0.3272 1
Ho2 Ho 0.0000 0.3272 0.8272 1
Ho3 Ho 0.0000 0.8272 0.6728 1
Ho4 Ho 0.0000 0.6728 0.1728 1
Al1 Al 0.0000 0.3731 0.1269 1
Al2 Al 0.0000 0.6269 0.8731 1
Al3 Al 0.0000 0.8731 0.3731 1
Al4 Al 0.0000 0.1269 0.6269 1
Si1 Si 0.0000 0.5000 0.5000 1
Si2 Si 0.0000 0.0000 0.0000 1
```

Properties
- E_tot: -67.54 eV/f.u.
- Raw formation energy: -0.87 eV per atom
- Space group: P4/mbm (127)
- Crystal system: tetragonal

=====

Record 3
# Ho2Al2SnRh5

A relaxed Ho2Al2SnRh5 crystal (PBE, the Alexandria database).

```
data_Ho2Al2SnRh5
_cell_length_a 3.5288
_cell_length_b 9.8763
_cell_length_c 9.8763
_cell_angle_alpha 90.00
_cell_angle_beta 90.00
_cell_angle_gamma 90.00
_symmetry_space_group_name_H-M 'P 1'
_symmetry_Int_Tables_number 1
loop_
_symmetry_equiv_pos_as_xyz
'x,y,z'
loop_
_atom_site_label
_atom_site_type_symbol
_atom_site_fract_x
_atom_site_fract_y
_atom_site_fract_z
_atom_site_occupancy
Rh1 Rh 0.5000 0.0692 0.7911 1
Rh2 Rh 0.5000 0.4308 0.2911 1
Rh3 Rh 0.5000 0.5692 0.7089 1
Rh4 Rh 0.5000 0.7089 0.4308 1
Rh5 Rh 0.5000 0.9308 0.2089 1
Rh6 Rh 0.5000 0.7911 0.9308 1
Rh7 Rh 0.5000 0.2911 0.5692 1
Rh8 Rh 0.5000 0.0000 0.5000 1
Rh9 Rh 0.5000 0.2089 0.0692 1
Rh10 Rh 0.5000 0.5000 0.0000 1
Sn1 Sn 0.0000 0.0000 0.0000 1
Sn2 Sn 0.0000 0.5000 0.5000 1
Al1 Al 0.0000 0.8783 0.3783 1
Al2 Al 0.0000 0.6217 0.8783 1
Al3 Al 0.0000 0.3783 0.1217 1
Al4 Al 0.0000 0.1217 0.6217 1
Ho1 Ho 0.0000 0.8247 0.6753 1
Ho2 Ho 0.0000 0.3247 0.8247 1
Ho3 Ho 0.0000 0.1753 0.3247 1
Ho4 Ho 0.0000 0.6753 0.1753 1
```

Properties
- E_tot: -66.37 eV/f.u.
- DFT formation energy: -0.8968 eV per atom
- Space group: P4/mbm (127)
- Crystal system: tetragonal

=====

Record 4
# HoTmAlRh

A relaxed HoTmAlRh crystal (PBE, the Alexandria database).

```
data_HoTmAlRh
_cell_length_a 4.9465
_cell_length_b 4.9465
_cell_length_c 4.9465
_cell_angle_alpha 60.00
_cell_angle_beta 60.00
_cell_angle_gamma 60.00
_symmetry_space_group_name_H-M 'P 1'
_symmetry_Int_Tables_number 1
loop_
_symmetry_equiv_pos_as_xyz
'x,y,z'
loop_
_atom_site_label
_atom_site_type_symbol
_atom_site_fract_x
_atom_site_fract_y
_atom_site_fract_z
_atom_site_occupancy
Ho1 Ho 0.0000 0.0000 0.0000 1
Rh1 Rh 0.2500 0.2500 0.2500 1
Tm1 Tm 0.5000 0.5000 0.5000 1
Al1 Al 0.7500 0.7500 0.7500 1
```

Properties
- E_tot: -22.52 eV/f.u.
- DFT formation energy: -0.5945 eV per atom
- Space group: F-43m (216)
- Crystal system: cubic

=====

Record 5
# Ho2AlZn2Rh5

A relaxed Ho2AlZn2Rh5 crystal (PBE, the Alexandria database).

```
data_Ho2AlZn2Rh5
_cell_length_a 3.4828
_cell_length_b 9.7385
_cell_length_c 9.7385
_cell_angle_alpha 90.00
_cell_angle_beta 90.00
_cell_angle_gamma 90.00
_symmetry_space_group_name_H-M 'P 1'
_symmetry_Int_Tables_number 1
loop_
_symmetry_equiv_pos_as_xyz
'x,y,z'
loop_
_atom_site_label
_atom_site_type_symbol
_atom_site_fract_x
_atom_site_fract_y
_atom_site_fract_z
_atom_site_occupancy
Rh1 Rh 0.5000 0.5647 0.6970 1
Rh2 Rh 0.5000 0.4353 0.3030 1
Rh3 Rh 0.5000 0.3030 0.5647 1
Rh4 Rh 0.5000 0.8030 0.9353 1
Rh5 Rh 0.5000 0.1970 0.0647 1
Rh6 Rh 0.5000 0.9353 0.1970 1
Rh7 Rh 0.5000 0.0000 0.5000 1
Rh8 Rh 0.5000 0.5000 0.0000 1
Rh9 Rh 0.5000 0.0647 0.8030 1
Rh10 Rh 0.5000 0.6970 0.4353 1
Ho1 Ho 0.0000 0.6720 0.1720 1
Ho2 Ho 0.0000 0.1720 0.3280 1
Ho3 Ho 0.0000 0.8280 0.6720 1
Ho4 Ho 0.0000 0.3280 0.8280 1
Zn1 Zn 0.0000 0.3721 0.1279 1
Zn2 Zn 0.0000 0.6279 0.8721 1
Zn3 Zn 0.0000 0.1279 0.6279 1
Zn4 Zn 0.0000 0.8721 0.3721 1
Al1 Al 0.0000 0.5000 0.5000 1
Al2 Al 0.0000 0.0000 0.0000 1
```

Properties
- E_tot: -59.04 eV/f.u.
- DFT formation energy: -0.6834 eV per atom
- Space group: P4/mbm (127)
- Crystal system: tetragonal

=====

Record 6
# HoAlZnRh

A relaxed HoAlZnRh crystal (PBE, the Alexandria database).

```
data_HoAlZnRh
_cell_length_a 4.6262
_cell_length_b 4.6262
_cell_length_c 4.6262
_cell_angle_alpha 60.00
_cell_angle_beta 60.00
_cell_angle_gamma 60.00
_symmetry_space_group_name_H-M 'P 1'
_symmetry_Int_Tables_number 1
loop_
_symmetry_equiv_pos_as_xyz
'x,y,z'
loop_
_atom_site_label
_atom_site_type_symbol
_atom_site_fract_x
_atom_site_fract_y
_atom_site_fract_z
_atom_site_occupancy
Zn1 Zn 0.5000 0.5000 0.5000 1
Rh1 Rh 0.0000 0.0000 0.0000 1
Al1 Al 0.2500 0.2500 0.2500 1
Ho1 Ho 0.7500 0.7500 0.7500 1
```

Properties
- E_tot: -19.18 eV/f.u.
- DFT formation energy: -0.5579 eV per atom
- Space group: F-43m (216)
- Crystal system: cubic

=====

> Among the records above, which one has the highest E_tot?

HoAlZnRh

=====

Repeat the first record exactly.
# HoAlSi2Rh

A relaxed HoAlSi2Rh crystal (PBE, the Alexandria database).

```
data_HoAlSi2Rh
_cell_length_a 5.5220
_cell_length_b 5.6237
_cell_length_c 5.4825
_cell_angle_alpha 90.00
_cell_angle_beta 90.00
_cell_angle_gamma 90.00
_symmetry_space_group_name_H-M 'P 1'
_symmetry_Int_Tables_number 1
loop_
_symmetry_equiv_pos_as_xyz
'x,y,z'
loop_
_atom_site_label
_atom_site_type_symbol
_atom_site_fract_x
_atom_site_fract_y
_atom_site_fract_z
_atom_site_occupancy
Ho1 Ho 0.2299 0.2500 0.5000 1
Ho2 Ho 0.7701 0.7500 0.5000 1
Si1 Si 0.2620 0.7500 0.7217 1
Si2 Si 0.7380 0.2500 0.7217 1
Si3 Si 0.7380 0.2500 0.2783 1
Si4 Si 0.2620 0.7500 0.2783 1
Rh1 Rh 0.0000 0.0000 0.0000 1
Rh2 Rh 0.0000 0.5000 0.0000 1
Al1 Al 0.3792 0.2500 0.0000 1
Al2 Al 0.6208 0.7500 0.0000 1
```

Properties
- E_tot: -30.04 eV/f.u.
- Raw formation energy: -0.70 eV per atom
- Space group: Pmma (51)
- Crystal system: orthorhombic